{
  "formula": "AlRh2",
  "functional": "GGA-PBE",
  "state": "relaxed",
  "cell": [[1.460, -6.587, 0.000], [1.460, 6.587, 0.000], [0.000, 0.000, 4.330]],
  "species": ["Al", "Al", "Rh", "Rh", "Rh", "Rh"],
  "fractional_positions": [[0.074, 0.926, 0.750], [0.926, 0.074, 0.250], [0.272, 0.728, 0.250], [0.417, 0.583, 0.750], [0.583, 0.417, 0.250], [0.728, 0.272, 0.750]],
  "sg": "No. 63",
  "final_energy_ev_per_cell": -40.90,
  "m_tot_mub_per_cell": 0.00
}